No. 1
# PrNd3 | Alexandria via LeMat-Bulk | GGA-PBEsol | relaxed
# Energy of formation   0.01 eV/atom
# Final energy   -5.16 eV per atom
# Size of the total moment   0.00 μB/atom
data_PrNd3
_chemical_formula_sum 'Pr2 Nd6'
_cell_length_a 5.104
_cell_length_b 5.104
_cell_length_c 10.196
_cell_angle_alpha 90.00
_cell_angle_beta 90.00
_cell_angle_gamma 90.00
_space_group_name_H-M_alt 'I 4/m m m'
_space_group_IT_number 139
_space_group_name_Hall '-I 4 2'
loop_
_atom_site_label
_atom_site_fract_x
_atom_site_fract_y
_atom_site_fract_z
Pr1 0.000 0.000 0.000
Nd1 0.000 0.000 0.500
Nd2 0.000 0.500 0.250

No. 2
# NaAl2CoCu | Alexandria via LeMat-Bulk | GGA-PBEsol | relaxed
# Energy of formation   0.57 eV/atom
# Final energy   -3.76 eV per atom
# Size of the total moment   0.00 μB/atom
data_NaAl2CoCu
_chemical_formula_sum 'Na1 Al2 Co1 Cu1'
_cell_length_a 4.412
_cell_length_b 4.412
_cell_length_c 4.854
_cell_angle_alpha 90.00
_cell_angle_beta 90.00
_cell_angle_gamma 90.00
_space_group_name_H-M_alt 'P 4/m m m'
_space_group_IT_number 123
_space_group_name_Hall '-P 4 2'
loop_
_atom_site_label
_atom_site_fract_x
_atom_site_fract_y
_atom_site_fract_z
Na1 0.000 0.000 0.000
Al1 0.000 0.500 0.500
Co1 0.000 0.000 0.500
Cu1 0.500 0.500 0.000

No. 3
# Be2AlTc | Alexandria via LeMat-Bulk | GGA-PBEsol | relaxed
# Energy of formation   -0.32 eV/atom
# Final energy   -6.16 eV per atom
# Size of the total moment   0.00 μB/atom
data_Be2AlTc
_chemical_formula_sum 'Be4 Al2 Tc2'
_cell_length_a 3.341
_cell_length_b 3.341
_cell_length_c 7.897
_cell_angle_alpha 90.00
_cell_angle_beta 90.00
_cell_angle_gamma 90.00
_space_group_name_H-M_alt 'I -4 m 2'
_space_group_IT_number 119
_space_group_name_Hall 'I -4 -2'
loop_
_atom_site_label
_atom_site_fract_x
_atom_site_fract_y
_atom_site_fract_z
Be1 0.000 0.000 0.000
Be2 0.000 0.500 0.250
Al1 0.000 0.000 0.500
Tc1 0.000 0.500 0.750

No. 4
# TlFe2Rh | Alexandria via LeMat-Bulk | GGA-PBEsol | relaxed
# Energy of formation   0.43 eV/atom
# Final energy   -6.74 eV per atom
# ΔE to the lowest computed polymorph   181 meV/atom
# Size of the total moment   1.45 μB/atom
data_TlFe2Rh
_chemical_formula_sum 'Tl4 Fe8 Rh4'
_cell_length_a 6.125
_cell_length_b 6.125
_cell_length_c 6.125
_cell_angle_alpha 90.00
_cell_angle_beta 90.00
_cell_angle_gamma 90.00
_space_group_name_H-M_alt 'F m -3 m'
_space_group_IT_number 225
_space_group_name_Hall '-F 4 2 3'
loop_
_atom_site_label
_atom_site_fract_x
_atom_site_fract_y
_atom_site_fract_z
Tl1 0.000 0.000 0.000
Fe1 0.250 0.250 0.250
Rh1 0.000 0.000 0.500

No. 5
# Te3OsC | Alexandria via LeMat-Bulk | GGA-PBEsol | relaxed
# Final energy   -4.42 eV per atom
# ΔE_f (raw)   2.063 eV per atom
# Size of the total moment   0.18 μB/atom
data_Te3OsC
_chemical_formula_sum 'Te3 Os1 C1'
_cell_length_a 5.154
_cell_length_b 5.154
_cell_length_c 5.154
_cell_angle_alpha 90.00
_cell_angle_beta 90.00
_cell_angle_gamma 90.00
_space_group_name_H-M_alt 'P m -3 m'
_space_group_IT_number 221
_space_group_name_Hall '-P 4 2 3'
loop_
_atom_site_label
_atom_site_fract_x
_atom_site_fract_y
_atom_site_fract_z
Te1 0.000 0.000 0.500
Os1 0.000 0.000 0.000
C1 0.500 0.500 0.500

No. 6
# CdBTe2 | Alexandria via LeMat-Bulk | GGA-PBEsol | relaxed
# Final energy   -3.27 eV per atom
# ΔE_f (raw)   0.544 eV per atom
# Size of the total moment   0.00 μB/atom
data_CdBTe2
_chemical_formula_sum 'Cd3 B3 Te6'
_cell_length_a 4.5837
_cell_length_b 4.5837
_cell_length_c 21.3398
_cell_angle_alpha 90.00
_cell_angle_beta 90.00
_cell_angle_gamma 120.00
_space_group_name_H-M_alt 'R -3 m'
_space_group_IT_number 166
_space_group_name_Hall '-R 3 2"'
loop_
_atom_site_label
_atom_site_fract_x
_atom_site_fract_y
_atom_site_fract_z
Cd1 0.0000 0.0000 0.0000
B1 0.0000 0.0000 0.5000
Te1 0.0000 0.0000 0.4045